# K2FeAs2O6 (PBE with a Hubbard U, relaxed)
data_K2FeAs2O6
_chemical_formula_sum 'K4 Fe2 As4 O12'
_symmetry_space_group_name_H-M 'C 1 2/m 1'
_symmetry_Int_Tables_number 12
_cell_length_a 10.1662
_cell_length_b 5.8291
_cell_length_c 6.6857
_cell_angle_alpha 90.00
_cell_angle_beta 120.06
_cell_angle_gamma 90.00
loop_
_symmetry_equiv_pos_as_xyz
'x,y,z'
'-x,-y,-z'
'-x,y,-z'
'x,-y,z'
'x+1/2,y+1/2,z'
'-x+1/2,-y+1/2,-z'
'-x+1/2,y+1/2,-z'
'x+1/2,-y+1/2,z'
loop_
_atom_site_label
_atom_site_type_symbol
_atom_site_fract_x
_atom_site_fract_y
_atom_site_fract_z
_atom_site_occupancy
K1 K 0.2074 0.0000 0.1813 1
Fe1 Fe 0.0000 0.0000 0.5000 1
As1 As 0.0487 0.5000 0.2122 1
O1 O 0.0328 0.2549 0.7516 1
O2 O 0.2425 0.5000 0.3621 1
# Magnetization = 3.97 μB per formula unit
# Total DFT energy (no corrections) = -5.718 eV/atom